[1]
Density functional theory data (GGA-PBE) for Nb2GaHPd after structural relaxation.

Unit cell a=4.0041 b=4.0041 c=4.3033 alpha=90.00 beta=90.00 gamma=90.00
Closest atoms and distances in Å follow each position.
Positions (direct):
Ga1 0.5000 0.5000 0.5000  4 Pd 2.83, 8 Nb 2.94
H1 0.0000 0.0000 0.0000  4 Nb 2.00, 2 Pd 2.15
Nb1 0.0000 0.5000 0.0000  2 H 2.00
Pd1 0.0000 0.0000 0.5000  2 H 2.15
Nb2 0.5000 0.0000 0.0000  2 H 2.00

Results
* E_tot: -6.645 eV/atom
* E above lowest polymorph: 0 meV/atom

[2]
Density functional theory data (GGA-PBE) for BiAsPb4 after structural relaxation.

Unit cell a=6.8763 b=6.4963 c=5.2241 alpha=113.69 beta=90.00 gamma=118.48
Closest atoms and distances in Å follow each position.
Positions (direct):
Pb1 0.3090 0.3034 0.5894  1 As 3.04, 2 Bi 3.35
As1 0.7379 0.2756 0.5752  6 Pb 3.00-3.23, 1 Bi 3.35
Pb2 0.4953 0.9816 0.9282  2 As 3.10, 1 Bi 3.22, 2 Pb 3.45
Pb3 0.6452 0.7233 0.2993  1 As 3.00
Bi1 0.0065 0.9348 0.9051  6 Pb 3.22-3.38, 1 As 3.35
Pb4 0.0562 0.5312 0.2029  2 As 3.23, 1 Bi 3.38, 3 Pb 3.53-3.59

Results
* E_tot: -3.850 eV/atom
* ΔH_f (0 K): 0.0437 eV per atom

[3]
Density functional theory data (GGA-PBE) for Cd2Cu after structural relaxation.

Unit cell a=7.0976 b=7.0976 c=7.0976 alpha=24.90 beta=24.90 gamma=24.90
Closest atoms and distances in Å follow each position.
Positions (direct):
Cu1 0.0000 0.0000 0.0000  6 Cd 2.76, 6 Cu 3.06
Cd1 0.7696 0.7696 0.7696  3 Cu 2.76, 6 Cd 3.06
Cd2 0.2304 0.2304 0.2304  3 Cu 2.76, 6 Cd 3.06

Results
* E_tot: -1.895 eV/atom
* ΔH_f (0 K): 0.0808 eV per atom

[4]
Density functional theory data (GGA-PBE) for LiHg5Pb2 after structural relaxation.

Unit cell a=4.9809 b=4.9809 c=8.9772 alpha=106.11 beta=106.11 gamma=90.00
Closest atoms and distances in Å follow each position.
Positions (direct):
Pb1 0.2415 0.2415 0.4829  8 Hg 3.28-3.47, 4 Pb 3.53
Hg1 0.3881 0.8881 0.7762  2 Li 3.10, 2 Hg 3.10, 2 Pb 3.28
Hg2 0.6119 0.1119 0.2238  2 Li 3.10, 2 Hg 3.10, 2 Pb 3.28
Hg3 0.1119 0.6119 0.2238  2 Hg 3.10, 2 Li 3.10, 2 Pb 3.28
Li1 0.0000 0.0000 0.0000  8 Hg 3.10
Hg4 0.5000 0.5000 0.0000  8 Hg 3.10
Pb2 0.7585 0.7585 0.5171  8 Hg 3.28-3.47, 4 Pb 3.53
Hg5 0.8881 0.3881 0.7762  2 Hg 3.10, 2 Li 3.10, 2 Pb 3.28

Results
* E_tot: -1.419 eV/atom
* ΔH_f (0 K): -0.0642 eV per atom